DFT (GGA-PBE) results for Sm4Te3As after structural relaxation.

Properties
E_form (uncorrected) (eV/atom): -1.4656

Lattice parameters (Å, degrees): 4.347 7.646 7.646 108.94 90.00 90.00
Atoms (fractional coordinates):
Te (0.000, 0.000, 0.500)
Te (0.000, 0.500, 0.000)
Te (0.500, 0.500, 0.500)
Sm (0.000, 0.776, 0.776)
Sm (0.500, 0.234, 0.766)
Sm (0.500, 0.766, 0.234)
Sm (0.000, 0.224, 0.224)
As (0.500, 0.000, 0.000)